No. 1
! K2RbAu2 PBE relaxed; values from VASP
! - Fermi-level density of states (states/eV per atom) = 0.492
! - total magnetization (Bohr magnetons per cell) = 0.0
! - E_form (eV/atom) = -0.24
&SYSTEM
  ibrav = 0, nat = 10, ntyp = 3
/
ATOMIC_SPECIES
K 39.10 K.upf
Rb 85.47 Rb.upf
Au 196.97 Au.upf
ATOMIC_POSITIONS angstrom
K -0.547 -10.507 2.357
K -2.879 -5.085 1.477
K -0.348 -2.715 -0.084
K -3.550 -8.837 0.727
Rb -1.534 -6.573 -2.520
Rb -2.108 -7.170 4.894
Au -0.474 -7.328 1.336
Au -3.519 -3.408 -1.339
Au -4.402 -4.188 -3.987
Au 0.207 -4.820 2.618
CELL_PARAMETERS angstrom
-4.921 0.586 1.468
0.197 -5.053 -6.424
0.910 -7.801 6.164

***

No. 2
! K4RbAu5 PBE relaxed; values from VASP
! - Fermi-level density of states (states/eV per atom) = 0.019
! - total magnetization (Bohr magnetons per cell) = 0.0
! - E_form (eV/atom) = -0.28
&SYSTEM
  ibrav = 0, nat = 10, ntyp = 3
/
ATOMIC_SPECIES
K 39.10 K.upf
Rb 85.47 Rb.upf
Au 196.97 Au.upf
ATOMIC_POSITIONS angstrom
K -1.195 -3.932 -0.168
K -2.344 -7.713 -0.330
K -3.492 -11.492 -0.492
K -4.641 -15.272 -0.654
Rb 0.000 0.000 0.000
Au -0.916 -1.876 -2.915
Au -2.052 -5.616 -3.075
Au -3.201 -9.395 -3.237
Au -4.349 -13.174 -3.399
Au -5.486 -16.914 -3.559
CELL_PARAMETERS angstrom
-2.993 1.016 -2.495
2.427 -0.602 -3.156
-5.836 -19.205 -0.823

***

No. 3
! K5Rb12Au3 PBE relaxed; values from VASP
! - Fermi-level density of states (states/eV per atom) = 0.737
! - total magnetization (Bohr magnetons per cell) = 0.0
! - E_form (eV/atom) = 0.09
&SYSTEM
  ibrav = 0, nat = 80, ntyp = 3
/
ATOMIC_SPECIES
Au 196.97 Au.upf
K 39.10 K.upf
Rb 85.47 Rb.upf
ATOMIC_POSITIONS angstrom
Au 5.781 -10.844 5.605
Au 12.206 -12.796 2.952
Au 12.302 3.842 4.042
Au 1.695 1.676 6.145
Au 1.226 -11.184 11.196
Au 10.385 -2.185 0.560
Au 5.456 1.252 12.292
Au 14.616 10.251 1.656
Au 14.147 -2.610 6.707
Au 3.540 -4.775 8.810
Au 3.635 11.862 9.900
Au 10.060 9.911 7.246
K 6.250 2.016 0.554
K 8.714 0.298 -5.312
K 0.000 0.000 0.000
K 3.936 -4.393 2.940
K -0.794 -0.765 11.738
K 8.270 -8.403 0.012
K 12.699 4.224 -1.827
K 0.901 0.912 17.883
K 9.964 -6.727 6.156
K 1.322 5.453 12.286
K 14.520 -6.387 0.566
K 7.921 -0.467 6.426
K -0.445 -8.701 5.324
K -0.349 7.936 6.414
K 5.877 5.793 6.696
K 14.941 -1.845 -5.031
K 8.365 8.234 1.102
K 3.143 -5.157 14.679
K 11.905 3.459 9.911
K 9.591 -2.950 12.298
Rb 1.526 -11.586 7.800
Rb 9.669 1.791 3.235
Rb 5.474 -11.682 8.920
Rb 3.790 -8.068 5.264
Rb 12.104 0.116 7.134
Rb 8.474 -12.930 6.039
Rb 12.460 0.549 0.491
Rb 15.156 1.899 -7.237
Rb 14.910 1.673 4.573
Rb 10.079 -10.152 3.476
Rb 6.214 -6.880 8.357
Rb 15.939 -12.569 -0.128
Rb 12.593 7.566 0.957
Rb 7.618 -4.216 0.628
Rb 16.379 4.308 -4.145
Rb 1.547 2.077 9.551
Rb 2.543 1.965 2.830
Rb 11.151 -6.111 -2.174
Rb 14.364 -10.131 2.776
Rb 6.425 -1.410 -2.122
Rb 15.001 5.956 3.867
Rb 10.230 -3.025 3.885
Rb 13.334 -6.850 8.907
Rb 4.609 1.116 15.616
Rb 5.611 2.092 8.967
Rb 2.508 5.916 3.945
Rb 11.232 -2.049 -2.764
Rb 1.477 9.198 10.076
Rb 0.841 -6.890 8.985
Rb 9.417 0.477 14.974
Rb 4.690 5.178 15.026
Rb 14.294 -3.010 3.301
Rb 13.299 -2.898 10.022
Rb -0.538 -5.241 16.997
Rb 3.249 -8.499 11.895
Rb -0.098 11.636 12.980
Rb 8.224 3.283 12.224
Rb 0.931 -2.606 8.279
Rb 5.763 9.219 9.375
Rb 9.627 5.946 4.495
Rb 0.685 -2.832 20.089
Rb 3.382 -1.483 12.361
Rb 12.051 7.135 7.588
Rb 7.368 11.997 6.813
Rb 3.738 -1.049 5.718
Rb 10.367 10.749 3.931
Rb 6.172 -2.724 9.617
Rb 14.316 10.653 5.052
CELL_PARAMETERS angstrom
-0.889 -17.402 10.648
17.429 0.596 -10.624
-0.698 15.873 12.828

***

No. 4
! K3Rb12Au PBE relaxed; values from VASP
! - Fermi-level density of states (states/eV per atom) = 0.797
! - total magnetization (Bohr magnetons per cell) = 0.0
! - E_form (eV/atom) = 0.01
&SYSTEM
  ibrav = 0, nat = 16, ntyp = 3
/
ATOMIC_SPECIES
K 39.10 K.upf
Rb 85.47 Rb.upf
Au 196.97 Au.upf
ATOMIC_POSITIONS angstrom
K 0.000 0.000 6.224
K 0.000 0.000 13.442
K 0.000 0.000 20.659
Rb 3.382 3.382 0.000
Rb 3.382 3.382 6.160
Rb 3.382 3.382 13.442
Rb 3.382 3.382 20.723
Rb 3.382 0.000 2.526
Rb 3.382 0.000 9.820
Rb 3.382 0.000 17.063
Rb 3.382 0.000 24.358
Rb 0.000 3.382 2.526
Rb 0.000 3.382 9.820
Rb 0.000 3.382 17.063
Rb 0.000 3.382 24.358
Au 0.000 0.000 0.000
CELL_PARAMETERS angstrom
6.764 0.000 0.000
0.000 6.764 0.000
0.000 0.000 26.883

***

No. 5
! KRbAu3 PBE relaxed; values from VASP
! - Fermi-level density of states (states/eV per atom) = 1.820
! - total magnetization (Bohr magnetons per cell) = 0.0
! - E_form (eV/atom) = 0.50
&SYSTEM
  ibrav = 0, nat = 5, ntyp = 3
/
ATOMIC_SPECIES
K 39.10 K.upf
Au 196.97 Au.upf
Rb 85.47 Rb.upf
ATOMIC_POSITIONS angstrom
K 3.130 3.130 3.130
Au 0.000 3.130 0.000
Au 0.000 0.000 3.130
Au 3.130 0.000 0.000
Rb 0.000 0.000 0.000
CELL_PARAMETERS angstrom
6.261 0.000 0.000
0.000 6.261 0.000
0.000 0.000 6.261

***

No. 6
! K8Rb3Au2 PBE relaxed; values from VASP
! - Fermi-level density of states (states/eV per atom) = 0.667
! - total magnetization (Bohr magnetons per cell) = 0.0
! - E_form (eV/atom) = -0.09
&SYSTEM
  ibrav = 0, nat = 13, ntyp = 3
/
ATOMIC_SPECIES
K 39.10 K.upf
Rb 85.47 Rb.upf
Au 196.97 Au.upf
ATOMIC_POSITIONS angstrom
K 0.000 5.084 6.687
K 4.979 6.333 10.077
K 0.000 9.516 7.026
K 4.979 1.901 9.738
K 2.490 9.571 10.712
K 2.489 4.182 12.501
K 2.490 7.235 4.263
K 2.489 1.846 6.052
Rb 2.490 0.000 0.000
Rb 0.000 3.455 2.304
Rb 4.979 7.963 14.459
Au 2.490 7.122 7.891
Au 2.489 4.295 8.873
CELL_PARAMETERS angstrom
4.979 0.000 0.000
0.000 11.428 2.577
0.000 -0.010 14.187

***

No. 7
! KRb2Au3 PBE relaxed; values from VASP
! - total magnetization (Bohr magnetons per cell) = 0.0
! - E_form (eV/atom) = -0.21
&SYSTEM
  ibrav = 0, nat = 24, ntyp = 3
/
ATOMIC_SPECIES
K 39.10 K.upf
Rb 85.47 Rb.upf
Au 196.97 Au.upf
ATOMIC_POSITIONS angstrom
K 0.000 0.000 0.000
K -4.238 1.626 -3.453
K -3.140 4.580 1.300
K -5.423 -0.635 1.647
Rb -6.764 2.944 -0.267
Rb -10.520 4.384 -3.327
Rb -9.547 7.002 0.885
Rb -11.570 2.381 1.193
Rb -15.081 6.756 2.317
Rb -18.837 8.197 -0.743
Rb -16.054 4.138 -1.896
Rb -14.031 8.760 -2.203
Au -14.963 3.331 1.386
Au -17.039 10.595 -2.649
Au -12.538 8.868 1.018
Au -19.463 5.057 -2.280
Au -13.704 5.731 -4.030
Au -18.297 8.194 2.767
Au -6.138 6.083 1.270
Au -13.063 2.272 -2.028
Au -8.562 0.546 1.639
Au -10.639 7.810 -2.396
Au -11.897 5.409 3.020
Au -7.304 2.946 -3.777
CELL_PARAMETERS angstrom
-6.280 9.159 2.601
-8.476 3.251 -6.905
-10.846 -1.270 3.295

***

No. 8
! K6Rb2Au3 PBE relaxed; values from VASP
! - Fermi-level density of states (states/eV per atom) = 0.756
! - total magnetization (Bohr magnetons per cell) = 0.0
! - E_form (eV/atom) = -0.11
&SYSTEM
  ibrav = 0, nat = 11, ntyp = 3
/
ATOMIC_SPECIES
K 39.10 K.upf
Rb 85.47 Rb.upf
Au 196.97 Au.upf
ATOMIC_POSITIONS angstrom
K 3.194 -6.931 1.208
K -0.626 -2.663 3.557
K 1.786 -1.664 0.237
K 2.587 -4.101 -6.466
K -0.925 -3.803 -2.194
K 3.299 -1.382 7.248
Rb 3.681 -4.164 -2.470
Rb 3.991 -2.983 3.488
Au 0.783 -4.685 0.888
Au 0.135 -5.483 -4.843
Au 0.725 -3.229 6.525
CELL_PARAMETERS angstrom
-4.019 -4.166 1.035
3.371 -5.346 -8.428
4.300 -1.802 9.447

***

No. 9
! KRb2Au PBE relaxed; values from VASP
! - Fermi-level density of states (states/eV per atom) = 0.561
! - total magnetization (Bohr magnetons per cell) = 0.0
! - E_form (eV/atom) = -0.14
&SYSTEM
  ibrav = 0, nat = 4, ntyp = 3
/
ATOMIC_SPECIES
K 39.10 K.upf
Au 196.97 Au.upf
Rb 85.47 Rb.upf
ATOMIC_POSITIONS angstrom
K -0.150 -6.343 1.996
Au -2.413 -1.693 -0.849
Rb 3.775 -7.759 4.747
Rb 0.750 -1.542 0.943
CELL_PARAMETERS angstrom
-3.897 -0.856 1.701
-0.928 -2.531 -3.399
4.525 -9.300 5.690

***

No. 10
! K2Rb5Au2 PBE relaxed; values from VASP
! - Fermi-level density of states (states/eV per atom) = 0.763
! - total magnetization (Bohr magnetons per cell) = 0.0
! - E_form (eV/atom) = -0.10
&SYSTEM
  ibrav = 0, nat = 9, ntyp = 3
/
ATOMIC_SPECIES
K 39.10 K.upf
Rb 85.47 Rb.upf
Au 196.97 Au.upf
ATOMIC_POSITIONS angstrom
K 2.954 1.229 13.486
K 0.000 4.353 3.860
Rb 2.954 2.239 2.196
Rb 0.000 3.343 15.150
Rb 2.954 3.993 10.158
Rb 0.000 1.588 7.189
Rb 0.000 0.000 0.000
Au 2.954 4.770 13.685
Au 0.000 0.812 3.661
CELL_PARAMETERS angstrom
5.907 0.000 0.000
-2.954 4.998 -1.109
0.000 0.583 18.455

***

No. 11
! K2Rb2Au PBE relaxed; values from VASP
! - Fermi-level density of states (states/eV per atom) = 0.944
! - total magnetization (Bohr magnetons per cell) = 0.0
! - E_form (eV/atom) = -0.03
&SYSTEM
  ibrav = 0, nat = 10, ntyp = 3
/
ATOMIC_SPECIES
K 39.10 K.upf
Au 196.97 Au.upf
Rb 85.47 Rb.upf
ATOMIC_POSITIONS angstrom
K 2.974 7.471 0.000
K 7.471 6.020 0.000
K 6.020 1.523 0.000
K 1.523 2.974 0.000
Au 0.000 0.000 0.000
Au 4.497 4.497 0.000
Rb 1.652 6.149 3.748
Rb 6.149 7.342 3.748
Rb 7.342 2.845 3.748
Rb 2.845 1.652 3.748
CELL_PARAMETERS angstrom
8.994 0.000 0.000
0.000 8.994 0.000
0.000 0.000 7.496

***

No. 12
! K3Rb5Au3 PBE relaxed; values from VASP
! - Fermi-level density of states (states/eV per atom) = 0.912
! - total magnetization (Bohr magnetons per cell) = 0.0
! - E_form (eV/atom) = -0.14
&SYSTEM
  ibrav = 0, nat = 11, ntyp = 3
/
ATOMIC_SPECIES
K 39.10 K.upf
Rb 85.47 Rb.upf
Au 196.97 Au.upf
ATOMIC_POSITIONS angstrom
K -6.599 -1.030 -0.269
K -2.033 0.291 -3.688
K -2.135 -0.941 3.518
Rb -5.948 1.824 3.422
Rb -5.860 2.885 -2.784
Rb -3.209 2.775 0.429
Rb -4.658 1.370 7.358
Rb -4.461 3.759 -6.610
Au -7.280 2.140 0.263
Au -2.573 2.289 3.922
Au -2.475 3.474 -3.007
CELL_PARAMETERS angstrom
-1.041 6.389 1.078
-5.252 0.752 -9.529
-5.515 -2.432 9.089

***

No. 13
! K2Rb6Au PBE relaxed; values from VASP
! - Fermi-level density of states (states/eV per atom) = 0.740
! - total magnetization (Bohr magnetons per cell) = 0.0
! - E_form (eV/atom) = -0.05
&SYSTEM
  ibrav = 0, nat = 9, ntyp = 3
/
ATOMIC_SPECIES
K 39.10 K.upf
Rb 85.47 Rb.upf
Au 196.97 Au.upf
ATOMIC_POSITIONS angstrom
K -2.393 0.266 6.407
K -6.413 -2.611 1.697
Rb -7.134 -1.001 -2.554
Rb -4.264 1.396 2.402
Rb -0.176 4.265 6.927
Rb -2.294 -1.232 -0.780
Rb -6.817 -1.773 6.470
Rb -9.822 -4.778 -1.027
Au -1.208 2.182 -0.540
CELL_PARAMETERS angstrom
-2.103 4.532 -0.974
-10.209 -5.482 -3.469
1.506 3.193 11.609

***

No. 14
! K2RbAu2 PBE relaxed; values from VASP
! - Fermi-level density of states (states/eV per atom) = 0.419
! - total magnetization (Bohr magnetons per cell) = 0.0
! - E_form (eV/atom) = -0.26
&SYSTEM
  ibrav = 0, nat = 5, ntyp = 3
/
ATOMIC_SPECIES
K 39.10 K.upf
Rb 85.47 Rb.upf
Au 196.97 Au.upf
ATOMIC_POSITIONS angstrom
K 7.900 5.327 3.777
K 2.633 2.238 1.587
Rb 0.000 0.000 0.000
Au 5.266 4.608 1.517
Au 5.266 2.957 3.847
CELL_PARAMETERS angstrom
5.266 0.000 0.000
2.633 5.987 -0.427
2.633 1.578 5.791

***

No. 15
! K8RbAu6 PBE relaxed; values from VASP
! - Fermi-level density of states (states/eV per atom) = 0.593
! - total magnetization (Bohr magnetons per cell) = 0.0
! - E_form (eV/atom) = -0.24
&SYSTEM
  ibrav = 0, nat = 15, ntyp = 3
/
ATOMIC_SPECIES
K 39.10 K.upf
Rb 85.47 Rb.upf
Au 196.97 Au.upf
ATOMIC_POSITIONS angstrom
K 3.026 4.317 10.720
K 2.601 6.059 7.024
K 3.769 0.744 8.835
K 6.923 5.145 10.638
K 3.453 2.566 5.305
K 6.606 6.968 7.108
K 7.774 1.653 8.919
K 7.350 3.394 5.223
Rb 0.000 0.000 0.000
Au 1.318 3.070 8.043
Au 4.366 7.334 9.651
Au 5.470 2.066 11.480
Au 4.905 5.645 4.463
Au 6.009 0.378 6.293
Au 9.057 4.642 7.900
CELL_PARAMETERS angstrom
8.211 -0.088 3.508
2.283 7.888 3.508
-0.118 -0.088 8.928

***

No. 16
! K3Rb2Au2 PBE relaxed; values from VASP
! - Fermi-level density of states (states/eV per atom) = 0.493
! - total magnetization (Bohr magnetons per cell) = 0.0
! - E_form (eV/atom) = -0.17
&SYSTEM
  ibrav = 0, nat = 7, ntyp = 3
/
ATOMIC_SPECIES
K 39.10 K.upf
Rb 85.47 Rb.upf
Au 196.97 Au.upf
ATOMIC_POSITIONS angstrom
K 2.492 0.000 0.000
K 2.492 0.359 3.970
K 0.000 3.241 5.105
Rb 2.492 4.215 1.586
Rb 0.000 -0.615 7.488
Au 2.492 1.996 7.237
Au 0.000 1.604 1.837
CELL_PARAMETERS angstrom
4.984 0.000 0.000
-2.492 7.134 -0.201
0.000 -3.533 9.276

***

No. 17
! K4Rb3Au4 PBE relaxed; values from VASP
! - Fermi-level density of states (states/eV per atom) = 0.633
! - total magnetization (Bohr magnetons per cell) = 0.0
! - E_form (eV/atom) = -0.21
&SYSTEM
  ibrav = 0, nat = 11, ntyp = 3
/
ATOMIC_SPECIES
K 39.10 K.upf
Rb 85.47 Rb.upf
Au 196.97 Au.upf
ATOMIC_POSITIONS angstrom
K -2.484 -5.819 2.206
K -4.903 -0.911 -1.148
K -6.829 -0.020 -4.434
K -4.409 -4.929 -1.080
Rb -1.010 -1.575 0.165
Rb -8.303 -4.265 -2.394
Rb -2.524 1.168 -4.307
Au -5.187 -2.985 -3.872
Au -4.125 -2.855 1.643
Au -5.503 2.954 -5.490
Au -2.680 1.648 -0.673
CELL_PARAMETERS angstrom
-3.135 2.267 2.452
-5.047 2.335 -8.614
-1.130 -10.443 3.933

***

No. 18
! K3Rb2Au4 PBE relaxed; values from VASP
! - Fermi-level density of states (states/eV per atom) = 0.488
! - total magnetization (Bohr magnetons per cell) = 0.0
! - E_form (eV/atom) = -0.30
&SYSTEM
  ibrav = 0, nat = 18, ntyp = 3
/
ATOMIC_SPECIES
K 39.10 K.upf
Rb 85.47 Rb.upf
Au 196.97 Au.upf
ATOMIC_POSITIONS angstrom
K -1.399 4.272 4.479
K 2.937 4.300 0.000
K 5.817 2.130 7.388
K 4.392 6.498 2.909
K 0.057 6.470 1.570
K 1.481 2.101 6.049
Rb 4.389 1.670 2.907
Rb 5.820 6.957 7.386
Rb 1.484 6.929 6.051
Rb 0.053 1.642 1.572
Au 7.385 0.712 4.780
Au 2.823 7.915 0.301
Au -1.512 7.887 4.177
Au 3.050 0.684 8.656
Au 6.253 4.305 1.044
Au 3.956 4.323 5.523
Au -0.380 4.295 7.914
Au 1.917 4.277 3.435
CELL_PARAMETERS angstrom
8.671 0.056 0.000
-2.798 8.543 0.000
0.000 0.000 8.958